# 1
DFT (PBE) results for a geometry-optimized Y6Cu2Ag structure.

Space group: Immm
Calculated formation energy: -170 meV per atom
V: 234 Å³/f.u.
D(E_F): 10.67 states/eV/f.u.
Total magnetization: 0.00 μB/f.u.

abc: 8.4727 8.4727 8.4727
angles: 107.25 110.28 110.91
Positions (direct):
Y1 0.5427 0.7233 0.8194
Y2 0.4573 0.2767 0.1806
Y3 0.0961 0.2767 0.8194
Y4 0.9039 0.7233 0.1806
Y5 0.8093 0.7559 0.5652
Y6 0.1907 0.2441 0.4348
Y7 0.1907 0.7559 0.9466
Y8 0.8093 0.2441 0.0534
Y9 0.6978 0.3739 0.6761
Y10 0.3022 0.6261 0.3239
Y11 0.3022 0.9782 0.6761
Y12 0.6978 0.0218 0.3239
Cu1 0.5000 0.3805 0.8805
Cu2 0.5000 0.6195 0.1195
Cu3 0.6474 0.0000 0.6474
Cu4 0.3526 0.0000 0.3526
Ag1 0.0000 0.5000 0.5000
Ag2 0.0000 0.0000 0.0000



# 2
DFT (PBE) results for a geometry-optimized PBr2 structure.

Space group: Pnnm
V: 109 Å³/f.u.
D(E_F): 1.11 states/eV/f.u.
Total magnetization: 0.00 μB/f.u.
Energy relative to the elements, uncorrected: 37 kJ/mol of formula units

abc: 3.6541 7.0601 8.4880
angles: 90.00 90.00 90.00
Positions (direct):
P1 0.0000 0.0000 0.0000
P2 0.5000 0.5000 0.5000
Br1 0.0000 0.2909 0.6112
Br2 0.0000 0.7091 0.3888
Br3 0.5000 0.7909 0.8888
Br4 0.5000 0.2091 0.1112



# 3
DFT (PBE) results for a geometry-optimized GdThTc4 structure.

Space group: F-43m
Calculated formation energy: -66 meV per atom
V: 116 Å³/f.u.
D(E_F): 10.45 states/eV/f.u.
Total magnetization: 5.58 μB/f.u.

abc: 5.4688 5.4688 5.4688
angles: 60.00 60.00 60.00
Site moments in Bohr magnetons follow the coordinates.
Positions (direct):
Gd1 0.0000 0.0000 0.0000  -6.97
Tc1 0.6251 0.6251 0.1247  0.33
Tc2 0.6251 0.1247 0.6251  0.33
Tc3 0.6251 0.6251 0.6251  0.33
Tc4 0.1247 0.6251 0.6251  0.33
Th1 0.2500 0.2500 0.2500  0.04



# 4
DFT (PBE) results for a geometry-optimized RbHfCoS3 structure.

Space group: P2_1/m
V: 139 Å³/f.u.
D(E_F): 2.02 states/eV/f.u.
Total magnetization: 1.57 μB/f.u.
Energy relative to the elements, uncorrected: -713 kJ/mol of formula units

abc: 3.6674 8.8820 9.3737
angles: 114.79 90.00 90.00
Site moments in Bohr magnetons follow the coordinates.
Positions (direct):
Rb1 0.2500 0.2210 0.2470  0.00
Rb2 0.7500 0.7790 0.7530  0.00
Hf1 0.2500 0.6864 0.1631  -0.01
Hf2 0.7500 0.3136 0.8369  -0.01
Co1 0.2500 0.0843 0.5964  1.38
Co2 0.7500 0.9157 0.4036  1.38
S1 0.7500 0.8741 0.1434  0.03
S2 0.2500 0.1259 0.8566  0.03
S3 0.2500 0.8030 0.4616  0.08
S4 0.7500 0.1970 0.5384  0.08
S5 0.7500 0.4722 0.1455  0.01
S6 0.2500 0.5278 0.8545  0.01



# 5
DFT (PBE) results for a geometry-optimized Y2Ga8Tc structure.

Space group: P4/mmm
Calculated formation energy: -434 meV per atom
V: 209 Å³/f.u.
D(E_F): 4.28 states/eV/f.u.
Total magnetization: 0.00 μB/f.u.

abc: 4.2826 4.2826 11.4159
angles: 90.00 90.00 90.00
Positions (direct):
Y1 0.0000 0.0000 0.3100
Y2 0.0000 0.0000 0.6900
Tc1 0.0000 0.0000 0.0000
Ga1 0.0000 0.5000 0.5000
Ga2 0.5000 0.0000 0.5000
Ga3 0.5000 0.5000 0.3100
Ga4 0.5000 0.5000 0.6900
Ga5 0.0000 0.5000 0.1225
Ga6 0.5000 0.0000 0.1225
Ga7 0.0000 0.5000 0.8775
Ga8 0.5000 0.0000 0.8775



# 6
DFT (PBE) results for a geometry-optimized La4Pm4Nd5 structure.

Space group: C2/m
Calculated formation energy: 17 meV per atom
V: 463 Å³/f.u.
D(E_F): 23.71 states/eV/f.u.
Total magnetization: 0.00 μB/f.u.

abc: 5.2179 9.7744 9.7831
angles: 85.83 74.53 74.52
Positions (direct):
La1 0.9229 0.4609 0.6932
La2 0.6161 0.3068 0.4610
La3 0.0771 0.5391 0.3068
La4 0.3839 0.6932 0.5390
Pm1 0.7694 0.3840 0.0771
Pm2 0.2306 0.6160 0.9229
Pm3 0.8465 0.9229 0.3840
Pm4 0.1535 0.0771 0.6160
Nd1 0.6908 0.8493 0.7692
Nd2 0.3092 0.1507 0.2308
Nd3 0.0000 0.0000 0.0000
Nd4 0.5400 0.7693 0.1507
Nd5 0.4600 0.2307 0.8493



# 7
DFT (PBE) results for a geometry-optimized K2MnCdS4 structure.

Space group: Fddd
V: 229 Å³/f.u.
D(E_F): 2.33 states/eV/f.u.
Total magnetization: 3.00 μB/f.u.
Energy relative to the elements, uncorrected: -566 kJ/mol of formula units

abc: 5.8115 7.4623 11.8108
angles: 84.50 75.76 67.08
Site moments in Bohr magnetons follow the coordinates.
Positions (direct):
K1 0.1825 0.0000 0.6351  0.00
K2 0.8175 0.0000 0.3649  0.00
K3 0.5675 0.5000 0.8649  0.00
K4 0.9325 0.5000 0.1351  0.00
Mn1 0.2500 0.5000 0.5000  2.75
Mn2 0.5000 0.0000 0.0000  2.75
Cd1 0.7500 0.5000 0.5000  0.01
Cd2 0.0000 0.0000 0.0000  0.01
S1 0.3457 0.7921 0.1054  -0.01
S2 0.2432 0.2079 0.8946  -0.01
S3 0.8622 0.7921 0.8946  -0.01
S4 0.5489 0.2079 0.1054  -0.01
S5 0.4043 0.7079 0.3946  -0.01
S6 0.5068 0.2921 0.6054  -0.01
S7 0.8878 0.7079 0.6054  -0.01
S8 0.2011 0.2921 0.3946  -0.01



# 8
DFT (PBE) results for a geometry-optimized Co2CuHIr structure.

Space group: P4/mmm
V: 51 Å³/f.u.
D(E_F): 7.40 states/eV/f.u.
Total magnetization: 3.82 μB/f.u.
Energy relative to the lowest polymorph listed for this composition: 0.26 eV/f.u.

abc: 3.6840 3.6840 3.7437
angles: 90.00 90.00 90.00
Site moments in Bohr magnetons follow the coordinates.
Positions (direct):
H1 0.0000 0.0000 0.0000  -0.01
Ir1 0.5000 0.5000 0.5000  0.73
Co1 0.0000 0.5000 0.0000  1.49
Co2 0.5000 0.0000 0.0000  1.49
Cu1 0.0000 0.0000 0.5000  0.17



# 9
DFT (PBE) results for a geometry-optimized MnRe2Ru structure.

Space group: I-42d
Calculated formation energy: 704 meV per atom
V: 63 Å³/f.u.
D(E_F): 3.60 states/eV/f.u.
Total magnetization: 3.22 μB/f.u.
Energy relative to the lowest polymorph listed for this composition: 2.80 eV/f.u.

abc: 3.6885 3.6885 9.5788
angles: 78.90 78.90 90.00
Site moments in Bohr magnetons follow the coordinates.
Positions (direct):
Re1 0.5961 0.1250 0.2500  -0.03
Re2 0.1539 0.6250 0.2500  -0.02
Re3 0.3750 0.4039 0.7500  -0.01
Re4 0.8750 0.8461 0.7500  -0.01
Mn1 0.5000 0.5000 0.0000  3.09
Mn2 0.2500 0.7500 0.5000  3.10
Ru1 0.0000 0.0000 0.0000  0.00
Ru2 0.7500 0.2500 0.5000  0.00



# 10
DFT (PBE) results for a geometry-optimized AlBiW2S structure.

Space group: P4/mmm
V: 99 Å³/f.u.
D(E_F): 4.50 states/eV/f.u.
Total magnetization: 0.00 μB/f.u.
Energy relative to the elements, uncorrected: 492 kJ/mol of formula units

abc: 4.5236 4.8321 4.5236
angles: 90.00 90.00 90.00
Positions (direct):
S1 0.0000 0.0000 0.0000
Bi1 0.5000 0.5000 0.5000
W1 0.0000 0.0000 0.5000
W2 0.5000 0.0000 0.0000
Al1 0.0000 0.5000 0.0000



# 11
DFT (PBE) results for a geometry-optimized ZnInW structure.

Space group: Fmm2
Calculated formation energy: 517 meV per atom
V: 54 Å³/f.u.
D(E_F): 2.28 states/eV/f.u.
Total magnetization: 0.00 μB/f.u.
Energy relative to the lowest polymorph listed for this composition: 0.14 eV/f.u.

abc: 7.2625 7.0837 2.8677
angles: 81.99 74.99 23.02
Positions (direct):
In1 0.9984 0.9984 0.0016
W1 0.3260 0.3260 0.6740
Zn1 0.6755 0.6755 0.3245



# 12
DFT (PBE) results for a geometry-optimized Zn2Cd2S structure.

Space group: P4/mbm
V: 109 Å³/f.u.
D(E_F): 0.73 states/eV/f.u.
Total magnetization: 0.00 μB/f.u.
Energy relative to the lowest polymorph listed for this composition: 0.00 eV/f.u.
Energy relative to the elements, uncorrected: 18 kJ/mol of formula units

abc: 6.2145 6.2145 5.6516
angles: 90.00 90.00 90.00
Positions (direct):
Zn1 0.3638 0.8638 0.0000
Zn2 0.8638 0.6362 0.0000
Zn3 0.6362 0.1362 0.0000
Zn4 0.1362 0.3638 0.0000
S1 0.0000 0.0000 0.0000
S2 0.5000 0.5000 0.0000
Cd1 0.1757 0.6757 0.5000
Cd2 0.6757 0.8243 0.5000
Cd3 0.8243 0.3243 0.5000
Cd4 0.3243 0.1757 0.5000



Q: What is the formula in the second record?
A: PBr2



Q: Among the records above, which one has the highest D(E_F)?
A: La4Pm4Nd5



Q: What is the total magnetization in the sixth record?
A: 0.00 μB/f.u.



Q: Which formula does entry 3 have?
A: GdThTc4